A relaxed Li6V2C4SO16 crystal, computed with PBE with a Hubbard U.

Lattice parameters (Å, degrees): 9.4422 9.4422 9.4422 60.00 60.00 60.00
Each line ends with the local moment (μB).
Atoms (fractional coordinates):
O1 0.4057 0.8028 0.5332  0.00
O2 0.1854 0.1854 0.4439  0.00
C1 0.3993 0.8022 0.3993  0.01
S1 0.0000 0.0000 0.0000  0.00
O3 0.9917 0.4472 0.8443  0.00
O4 0.7168 0.8443 0.4472  0.00
O5 0.7168 0.4472 0.9917  0.00
C2 0.4478 0.8507 0.8507  0.01
V1 0.6250 0.6250 0.1250  2.72
Li1 0.2154 0.2154 0.7846  0.00
O6 0.9917 0.8443 0.7168  0.00
O7 0.2583 0.5332 0.8028  0.00
S2 0.2500 0.2500 0.2500  0.00
O8 0.0646 0.8061 0.0646  0.00
O9 0.5332 0.2583 0.4057  0.00
C3 0.8507 0.4478 0.8507  0.01
Li2 0.0346 0.4654 0.0346  0.00
O10 0.1854 0.1854 0.1854  0.00
Li3 0.0346 0.4654 0.4654  0.00
C4 0.8507 0.8507 0.4478  0.01
O11 0.8443 0.7168 0.9917  0.00
O12 0.8028 0.4057 0.2583  0.00
O13 0.0646 0.0646 0.8061  0.00
O14 0.8443 0.4472 0.7168  0.00
Li4 0.2154 0.7846 0.7846  0.00
O15 0.2583 0.8028 0.4057  0.00
C5 0.8507 0.8507 0.8507  0.01
V2 0.6250 0.1250 0.6250  2.72
O16 0.4057 0.5332 0.2583  0.00
O17 0.1854 0.4439 0.1854  0.00
O18 0.0646 0.0646 0.0646  0.00
C6 0.3993 0.3993 0.8022  0.01
Li5 0.4654 0.0346 0.4654  0.00
O19 0.4472 0.7168 0.8443  0.00
C7 0.3993 0.3993 0.3993  0.01
O20 0.5332 0.4057 0.8028  0.00
O21 0.8443 0.9917 0.4472  0.00
C8 0.8022 0.3993 0.3993  0.01
V3 0.1250 0.6250 0.6250  2.72
Li6 0.0346 0.0346 0.4654  0.00
O22 0.4057 0.2583 0.8028  0.00
O23 0.8061 0.0646 0.0646  0.00
Li7 0.4654 0.0346 0.0346  0.00
O24 0.8028 0.5332 0.4057  0.00
Li8 0.4654 0.4654 0.0346  0.00
O25 0.8028 0.2583 0.5332  0.00
Li9 0.2154 0.7846 0.2154  0.00
O26 0.7168 0.9917 0.8443  0.00
O27 0.4439 0.1854 0.1854  0.00
V4 0.6250 0.6250 0.6250  2.72
O28 0.2583 0.4057 0.5332  0.00
O29 0.9917 0.7168 0.4472  0.00
Li10 0.7846 0.2154 0.7846  0.00
Li11 0.7846 0.7846 0.2154  0.00
O30 0.4472 0.9917 0.7168  0.00
Li12 0.7846 0.2154 0.2154  0.00
O31 0.5332 0.8028 0.2583  0.00
O32 0.4472 0.8443 0.9917  0.00

Final energy   -6.812 eV/atom
D(E_F)   0.000 states/eV/cell